w.
First-principles (PBE) data for a relaxed CsNpF6 crystal, as listed in Alexandria via LeMat-Bulk.

Lattice parameters (Å, degrees): 11.603 5.414 11.306 90.00 99.78 90.00
Space group C2/c (No. 15)
Unique sites:
Cs: 0.000 0.137 0.250 x4
Np: 0.250 0.250 0.000 x4
F: 0.104 0.406 0.893 x8
F: 0.143 0.043 0.529 x8
F: 0.212 0.418 0.153 x8

x.
First-principles (PBE) data for a relaxed CsNpF6 crystal, as listed in Alexandria via LeMat-Bulk.

Lattice parameters (Å, degrees): 8.3516 8.3516 8.5480 90.00 90.00 120.00
Space group R-3m (No. 166, hexagonal axes)
Unique sites:
Cs: 0.0000 0.0000 0.0000 x3
Np: 0.0000 0.0000 0.5000 x3
F: 0.1027 0.5513 0.3117 x18

It is x that is most stable; the runner-up trails by 14 meV/atom.

w.
First-principles (PBE) data for a relaxed Cs5Np2F12 crystal, as listed in Alexandria via LeMat-Bulk.

Lattice parameters (Å, degrees): 13.544 9.477 9.099 90.00 94.00 90.00
Space group C2/m (No. 12)
Unique sites:
Cs: 0.000 0.000 0.000 x2
Cs: 0.143 0.500 0.822 x4
Cs: 0.205 0.500 0.301 x4
Np: 0.000 0.204 0.500 x4
F: 0.026 0.238 0.267 x8
F: 0.098 0.000 0.537 x4
F: 0.130 0.334 0.550 x8
F: 0.209 0.000 0.965 x4

x.
First-principles (PBE) data for a relaxed Cs5Np2F12 crystal, as listed in Alexandria via LeMat-Bulk.

Lattice parameters (Å, degrees): 14.352 8.316 7.553 90.00 107.04 90.00
Space group C2/m (No. 12)
Unique sites:
Cs: 0.000 0.000 0.000 x2
Cs: 0.170 0.500 0.042 x4
Cs: 0.245 0.000 0.438 x4
Np: 0.000 0.251 0.500 x4
F: 0.040 0.000 0.379 x4
F: 0.067 0.500 0.649 x4
F: 0.094 0.294 0.303 x8
F: 0.145 0.203 0.723 x8

It is x that is most stable; the runner-up trails by 39 meV/atom.

w.
First-principles (PBE) data for a relaxed Cs2OF crystal, as listed in Alexandria via LeMat-Bulk.

Lattice parameters (Å, degrees): 4.3107 4.3107 22.0782 90.00 90.00 120.00
Space group R3m (No. 160, hexagonal axes)
Unique sites:
Cs: 0.0000 0.0000 0.0000 x3
Cs: 0.0000 0.0000 0.1692 x3
O: 0.0000 0.0000 0.5842 x3
F: 0.0000 0.0000 0.4173 x3

x.
First-principles (PBE) data for a relaxed Cs2OF crystal, as listed in Alexandria via LeMat-Bulk.

Lattice parameters (Å, degrees): 6.531 6.531 13.971 90.00 90.00 90.00
Space group I-42d (No. 122)
Unique sites:
Cs: 0.248 0.250 0.125 x8
O: 0.000 0.000 0.500 x4
F: 0.000 0.000 0.000 x4

It is w that is most stable; the runner-up trails by 38 meV/atom.

w.
First-principles (PBE) data for a relaxed Cs3OF crystal, as listed in Alexandria via LeMat-Bulk.

Lattice parameters (Å, degrees): 5.766 5.766 5.766 90.00 90.00 90.00
Space group Pm-3m (No. 221)
Unique sites:
Cs: 0.000 0.000 0.500 x3
O: 0.000 0.000 0.000 x1
F: 0.500 0.500 0.500 x1

x.
First-principles (PBE) data for a relaxed Cs3OF crystal, as listed in Alexandria via LeMat-Bulk.

Lattice parameters (Å, degrees): 7.650 4.367 10.337 90.00 90.66 90.00
Space group P2_1/m (No. 11)
Unique sites:
Cs: 0.082 0.250 0.313 x2
Cs: 0.227 0.750 0.997 x2
Cs: 0.401 0.250 0.690 x2
O: 0.088 0.250 0.799 x2
F: 0.426 0.250 0.182 x2

It is x that is most stable; the runner-up trails by 205 meV/atom.

w.
First-principles (PBE) data for a relaxed Cs4OF2 crystal, as listed in Alexandria via LeMat-Bulk.

Lattice parameters (Å, degrees): 5.750 5.750 15.492 90.00 90.00 90.00
Space group I4/mmm (No. 139)
Unique sites:
Cs: 0.000 0.000 0.180 x4
Cs: 0.000 0.500 0.000 x4
O: 0.000 0.000 0.000 x2
F: 0.000 0.000 0.364 x4

x.
First-principles (PBE) data for a relaxed Cs4OF2 crystal, as listed in Alexandria via LeMat-Bulk.

Lattice parameters (Å, degrees): 15.089 4.471 7.477 90.00 114.85 90.00
Space group C2/m (No. 12)
Unique sites:
Cs: 0.121 0.000 0.414 x4
Cs: 0.130 0.500 0.990 x4
O: 0.000 0.000 0.000 x2
F: 0.207 0.500 0.678 x4

It is x that is most stable; the runner-up trails by 140 meV/atom.

w.
First-principles (PBE) data for a relaxed CsPbOF2 crystal, as listed in Alexandria via LeMat-Bulk.

Lattice parameters (Å, degrees): 5.133 5.133 4.648 90.00 90.00 90.00
Space group P4/mmm (No. 123)
Unique sites:
Cs: 0.000 0.000 0.000 x1
Pb: 0.500 0.500 0.500 x1
O: 0.000 0.000 0.500 x1
F: 0.000 0.500 0.000 x2

x.
First-principles (PBE) data for a relaxed CsPbOF2 crystal, as listed in Alexandria via LeMat-Bulk.

Lattice parameters (Å, degrees): 4.882 4.882 4.311 90.00 90.00 90.00
Space group P4/mmm (No. 123)
Unique sites:
Cs: 0.000 0.000 0.000 x1
Pb: 0.500 0.500 0.500 x1
O: 0.500 0.500 0.000 x1
F: 0.000 0.500 0.500 x2

It is x that is most stable; the runner-up trails by 1132 meV/atom.

w.
First-principles (PBE) data for a relaxed CsPtOF2 crystal, as listed in Alexandria via LeMat-Bulk.

Lattice parameters (Å, degrees): 4.772 4.772 3.810 90.00 90.00 90.00
Space group P4/mmm (No. 123)
Unique sites:
Cs: 0.000 0.000 0.000 x1
Pt: 0.500 0.500 0.500 x1
O: 0.500 0.500 0.000 x1
F: 0.000 0.500 0.500 x2

x.
First-principles (PBE) data for a relaxed CsPtOF2 crystal, as listed in Alexandria via LeMat-Bulk.

Lattice parameters (Å, degrees): 5.169 5.169 4.306 90.00 90.00 90.00
Space group P4/mmm (No. 123)
Unique sites:
Cs: 0.000 0.000 0.000 x1
Pt: 0.500 0.500 0.500 x1
O: 0.000 0.000 0.500 x1
F: 0.000 0.500 0.000 x2

It is w that is most stable; the runner-up trails by 1731 meV/atom.

w.
First-principles (PBE) data for a relaxed CsSOF2 crystal, as listed in Alexandria via LeMat-Bulk.

Lattice parameters (Å, degrees): 4.819 4.819 3.551 90.00 90.00 90.00
Space group P4/mmm (No. 123)
Unique sites:
Cs: 0.000 0.000 0.000 x1
S: 0.500 0.500 0.500 x1
O: 0.500 0.500 0.000 x1
F: 0.000 0.500 0.500 x2

x.
First-principles (PBE) data for a relaxed CsSOF2 crystal, as listed in Alexandria via LeMat-Bulk.

Lattice parameters (Å, degrees): 5.184 5.184 4.496 90.00 90.00 90.00
Space group P4/mmm (No. 123)
Unique sites:
Cs: 0.000 0.000 0.000 x1
S: 0.500 0.500 0.500 x1
O: 0.000 0.000 0.500 x1
F: 0.000 0.500 0.000 x2

It is w that is most stable; the runner-up trails by 1403 meV/atom.

w.
First-principles (PBE) data for a relaxed CsTlOF2 crystal, as listed in Alexandria via LeMat-Bulk.

Lattice parameters (Å, degrees): 4.811 4.811 4.138 90.00 90.00 90.00
Space group P4/mmm (No. 123)
Unique sites:
Cs: 0.000 0.000 0.000 x1
Tl: 0.500 0.500 0.500 x1
O: 0.500 0.500 0.000 x1
F: 0.000 0.500 0.500 x2

x.
First-principles (PBE) data for a relaxed CsTlOF2 crystal, as listed in Alexandria via LeMat-Bulk.

Lattice parameters (Å, degrees): 5.254 5.254 4.380 90.00 90.00 90.00
Space group P4/mmm (No. 123)
Unique sites:
Cs: 0.000 0.000 0.000 x1
Tl: 0.500 0.500 0.500 x1
O: 0.000 0.000 0.500 x1
F: 0.000 0.500 0.000 x2

It is w that is most stable; the runner-up trails by 804 meV/atom.

w.
First-principles (PBE) data for a relaxed CsOs3F crystal, as listed in Alexandria via LeMat-Bulk.

Lattice parameters (Å, degrees): 4.638 4.638 4.638 90.00 90.00 90.00
Space group Pm-3m (No. 221)
Unique sites:
Cs: 0.000 0.000 0.000 x1
Os: 0.000 0.500 0.500 x3
F: 0.500 0.500 0.500 x1

x.
First-principles (PBE) data for a relaxed CsOs3F crystal, as listed in Alexandria via LeMat-Bulk.

Lattice parameters (Å, degrees): 5.064 5.064 5.064 90.00 90.00 90.00
Space group Pm-3m (No. 221)
Unique sites:
Cs: 0.000 0.000 0.000 x1
Os: 0.000 0.000 0.500 x3
F: 0.500 0.500 0.500 x1

It is w that is most stable; the runner-up trails by 1450 meV/atom.

w.
First-principles (PBE) data for a relaxed Cs2OsF crystal, as listed in Alexandria via LeMat-Bulk.

Lattice parameters (Å, degrees): 8.481 8.481 9.862 90.00 90.00 90.00
Space group I-42d (No. 122)
Unique sites:
Cs: 0.166 0.250 0.125 x8
Os: 0.000 0.000 0.500 x4
F: 0.000 0.000 0.000 x4

x.
First-principles (PBE) data for a relaxed Cs2OsF crystal, as listed in Alexandria via LeMat-Bulk.

Lattice parameters (Å, degrees): 8.368 8.368 8.368 90.00 90.00 90.00
Space group Fm-3m (No. 225)
Unique sites:
Cs: 0.250 0.250 0.250 x8
Os: 0.000 0.000 0.000 x4
F: 0.000 0.000 0.500 x4

It is w that is most stable; the runner-up trails by 205 meV/atom.

w.
First-principles (PBE) data for a relaxed Cs2PF crystal, as listed in Alexandria via LeMat-Bulk.

Lattice parameters (Å, degrees): 8.240 8.240 8.240 90.00 90.00 90.00
Space group Fm-3m (No. 225)
Unique sites:
Cs: 0.250 0.250 0.250 x8
P: 0.000 0.000 0.000 x4
F: 0.000 0.000 0.500 x4

x.
First-principles (PBE) data for a relaxed Cs2PF crystal, as listed in Alexandria via LeMat-Bulk.

Lattice parameters (Å, degrees): 8.515 8.515 9.325 90.00 90.00 90.00
Space group I-42d (No. 122)
Unique sites:
Cs: 0.173 0.250 0.125 x8
P: 0.000 0.000 0.500 x4
F: 0.000 0.000 0.000 x4

It is x that is most stable; the runner-up trails by 168 meV/atom.